# 1
First-principles (PBE) data for a geometry-optimized TbZnPb structure, as listed in the Alexandria database.

Cell: 6.7689 6.7689 6.7689 Å, 90.00 90.00 90.00°
Last column: nearest neighbours and their distance in Å.
Space group F-43m (No. 216)
Unique sites:
Tb1 0.0000 0.0000 0.0000 x4  4 Zn 2.93
Zn1 0.2500 0.2500 0.7500 x4  4 Tb 2.93, 4 Pb 2.93
Pb1 0.0000 0.0000 0.5000 x4  4 Zn 2.93

As for the formation energy: -248 meV per atom.



# 2
First-principles (PBE) data for a geometry-optimized Tb2Zn2Pb structure, as listed in the Alexandria database.

Cell: 4.3176 6.0721 9.1286 Å, 90.00 90.00 90.00°
Last column: nearest neighbours and their distance in Å.
Space group Immm (No. 71)
Unique sites:
Tb1 0.0000 0.0000 0.2152 x4  6 Zn 3.16-3.17, 2 Pb 3.38
Zn1 0.0000 0.2999 0.5000 x4  1 Zn 2.43
Pb1 0.0000 0.5000 0.0000 x2  4 Zn 2.82

As for the formation energy: -315 meV per atom.



# 3
First-principles (PBE) data for a geometry-optimized Tb8Zn2Pb structure, as listed in the Alexandria database.

Cell: 16.2715 5.2012 8.3840 Å, 90.00 119.21 90.00°
Last column: nearest neighbours and their distance in Å.
Space group C2/m (No. 12)
Unique sites:
Tb1 0.0667 0.0000 0.2217 x4  1 Zn 3.00, 3 Tb 3.26-3.28
Tb2 0.1022 0.5000 0.9647 x4  3 Zn 3.09-3.31, 1 Pb 3.41
Tb3 0.1506 0.0000 0.7103 x4  3 Zn 3.01-3.23
Tb4 0.1855 0.5000 0.4636 x4  1 Zn 3.09, 1 Pb 3.18, 4 Tb 3.21-3.28
Zn1 0.2174 0.0000 0.1140 x4  8 Tb 3.00-3.31
Pb1 0.0000 0.5000 0.5000 x2  8 Tb 3.18-3.41

As for the formation energy: -213 meV per atom.



# 4
First-principles (PBE) data for a geometry-optimized TbZnPb structure, as listed in the Alexandria database.

Cell: 4.5763 4.5763 4.1098 Å, 90.00 90.00 120.00°
Last column: nearest neighbours and their distance in Å.
Space group P3m1 (No. 156)
Unique sites:
Tb1 0.0000 0.0000 0.0000 x1  3 Zn 3.01, 3 Pb 3.22
Zn1 0.3333 0.6667 0.6468 x1  3 Pb 2.77, 3 Tb 3.01
Pb1 0.6667 0.3333 0.4470 x1  3 Zn 2.77

As for the formation energy: -327 meV per atom.



# 5
First-principles (PBE) data for a geometry-optimized TbZnPb structure, as listed in the Alexandria database.

Cell: 3.5635 3.5635 11.8177 Å, 90.00 90.00 90.00°
Last column: nearest neighbours and their distance in Å.
Space group I4mm (No. 107)
Unique sites:
Tb1 0.0000 0.0000 0.0000 x2  4 Zn 3.06
Zn1 0.0000 0.0000 0.6475 x2  4 Tb 3.06, 4 Pb 3.08
Pb1 0.0000 0.0000 0.2979 x2  4 Zn 3.08

As for the formation energy: -218 meV per atom.



# 6
First-principles (PBE) data for a geometry-optimized Tb6Zn2Pb structure, as listed in the Alexandria database.

Cell: 9.7008 9.7559 10.6427 Å, 90.00 90.00 90.00°
Last column: nearest neighbours and their distance in Å.
Space group Immm (No. 71)
Unique sites:
Tb1 0.0000 0.2071 0.2346 x8  2 Zn 2.92-3.25, 1 Pb 3.21
Tb2 0.2050 0.5000 0.1847 x8  3 Zn 2.87-3.10
Tb3 0.2184 0.3116 0.5000 x8  3 Zn 3.08-3.22, 1 Pb 3.29
Zn1 0.0000 0.3623 0.0000 x4  1 Zn 2.69, 2 Tb 2.92
Zn2 0.0000 0.5000 0.3797 x4  1 Zn 2.56
Pb1 0.0000 0.0000 0.0000 x2  8 Tb 3.21-3.29, 2 Zn 3.53
Pb2 0.0000 0.0000 0.5000 x2  12 Tb 3.47-3.71

As for the formation energy: -255 meV per atom.



# 7
First-principles (PBE) data for a geometry-optimized Tb3Zn2Pb structure, as listed in the Alexandria database.

Cell: 5.1795 15.5520 3.7168 Å, 90.00 90.00 90.00°
Last column: nearest neighbours and their distance in Å.
Space group Cmmm (No. 65)
Unique sites:
Tb1 0.0000 0.0000 0.0000 x2  4 Pb 3.19, 4 Zn 3.25
Tb2 0.0000 0.3253 0.0000 x4  6 Zn 3.03-3.19, 2 Pb 3.29
Zn1 0.0000 0.1711 0.5000 x4  8 Tb 3.03-3.25
Pb1 0.0000 0.5000 0.5000 x2  8 Tb 3.19-3.29

As for the formation energy: -371 meV per atom.



# 8
First-principles (PBE) data for a geometry-optimized TbZn4Pb structure, as listed in the Alexandria database.

Cell: 7.8307 7.8307 7.8307 Å, 90.00 90.00 90.00°
Last column: nearest neighbours and their distance in Å.
Space group F-43m (No. 216)
Unique sites:
Tb1 0.0000 0.0000 0.0000 x4  12 Zn 3.24, 4 Pb 3.39
Zn1 0.1257 0.1257 0.3743 x16  6 Zn 2.75-2.78
Pb1 0.2500 0.2500 0.7500 x4  12 Zn 3.25, 4 Tb 3.39

As for the formation energy: -129 meV per atom.



# 9
First-principles (PBE) data for a geometry-optimized Tb4Zn3Pb structure, as listed in the Alexandria database.

Cell: 5.1420 5.1420 7.3873 Å, 90.00 90.00 90.00°
Last column: nearest neighbours and their distance in Å.
Space group P4/mmm (No. 123)
Unique sites:
Tb1 0.0000 0.5000 0.2356 x4  6 Zn 3.10-3.23, 2 Pb 3.23
Zn1 0.0000 0.0000 0.0000 x1  8 Tb 3.10
Zn2 0.0000 0.0000 0.5000 x1  8 Tb 3.23
Zn3 0.5000 0.5000 0.0000 x1  8 Tb 3.10
Pb1 0.5000 0.5000 0.5000 x1  8 Tb 3.23

As for the formation energy: -368 meV per atom.



# 10
First-principles (PBE) data for a geometry-optimized TbZn2Pb structure, as listed in the Alexandria database.

Cell: 4.6009 4.6009 15.2022 Å, 90.00 90.00 120.00°
Last column: nearest neighbours and their distance in Å.
Space group R-3m (No. 166, hexagonal axes)
Unique sites:
Tb1 0.0000 0.0000 0.0000 x3  6 Zn 3.01
Zn1 0.0000 0.0000 0.2401 x6  3 Pb 2.88, 3 Tb 3.01
Pb1 0.0000 0.0000 0.5000 x3  6 Zn 2.88

For the energy relative to the lowest polymorph listed for this composition, the calculation gives 0.134 eV per atom. As for the formation energy: -136 meV per atom.



| no. | total moment (μB/cell) |
| --- | --- |
| 1 | 0.000 |
| 2 | 0.885 |
| 3 | 0.000 |
| 4 | 0.000 |
| 5 | 0.066 |
| 6 | 0.000 |
| 7 | 0.000 |
| 8 | 0.000 |
| 9 | 0.000 |
| 10 | 0.000 |